(1)
{"formula": "LaY2OsN4", "functional": "PBE-GGA", "state": "relaxed", "lattice": [[3.4728, 0.0000, 0.0000], [-1.7364, 5.9049, 0.0000], [0.0000, 0.0000, 11.7395]], "species": ["Y", "Y", "Y", "Y", "N", "N", "N", "N", "N", "N", "N", "N", "La", "La", "Os", "Os"], "frac_coords": [[0.3687, 0.7373, 0.5413], [0.6313, 0.2627, 0.0413], [0.6313, 0.2627, 0.4587], [0.3687, 0.7373, 0.9587], [0.2657, 0.5314, 0.1262], [0.0000, 0.0000, 0.5000], [0.7343, 0.4686, 0.6262], [0.4350, 0.8700, 0.7500], [0.2657, 0.5314, 0.3738], [0.7343, 0.4686, 0.8738], [0.5650, 0.1300, 0.2500], [0.0000, 0.0000, 0.0000], [0.1136, 0.2272, 0.7500], [0.8864, 0.7728, 0.2500], [0.8521, 0.7042, 0.7500], [0.1479, 0.2958, 0.2500]], "final_energy_ev_per_atom": -8.764, "sg": "Cmcm (63)", "crystal_system": "orthorhombic", "volume_a3_per_cell": 240.74, "raw_formation_energy_ev_per_atom": -0.966}


(2)
{"formula": "ErCuSeS", "functional": "PBE-GGA", "state": "relaxed", "lattice": [[-0.3238, 3.6332, -1.7342], [-1.2643, 0.3071, -3.8236], [-12.9249, 2.1990, 2.3172]], "species": ["S", "S", "Er", "Er", "Se", "Se", "Cu", "Cu"], "frac_coords": [[0.2879, 0.2879, 0.1362], [0.7121, 0.7121, 0.8638], [0.4088, 0.4088, 0.7735], [0.5912, 0.5912, 0.2265], [0.8764, 0.8764, 0.3709], [0.1236, 0.1236, 0.6291], [0.1873, 0.1873, 0.4382], [0.8127, 0.8127, 0.5618]], "final_energy_ev_per_atom": -5.297, "sg": "R-3m (166)", "crystal_system": "trigonal", "volume_a3_per_cell": 185.18, "raw_formation_energy_ev_per_atom": -1.229}


(3)
{"formula": "BePO3", "functional": "PBE-GGA", "state": "relaxed", "lattice": [[-2.8095, -0.7203, 1.8047], [-1.6591, -0.7623, -2.8871], [1.0116, -3.2510, 0.2771]], "species": ["P", "O", "O", "O", "Be"], "frac_coords": [[0.5000, 0.5000, 0.5000], [0.0000, 0.5000, 0.0000], [0.0000, 0.0000, 0.5000], [0.5000, 0.0000, 0.0000], [0.0000, 0.0000, 0.0000]], "final_energy_ev_per_atom": -5.264, "sg": "Pm-3m (221)", "crystal_system": "cubic", "volume_a3_per_cell": 39.86, "raw_formation_energy_ev_per_atom": -0.462}


(4)
{"formula": "TaIn2Pt", "functional": "PBE-GGA", "state": "relaxed", "lattice": [[-2.4441, 0.9262, 1.7273], [-1.6648, -2.4377, -1.0495], [2.7396, -4.6025, 6.3444]], "species": ["Pt", "In", "In", "Ta"], "frac_coords": [[0.0000, 0.0000, 0.5265], [0.5000, 0.5000, 0.2841], [0.0000, 0.0000, 0.9720], [0.5000, 0.5000, 0.7174]], "relative_energy_ev_per_atom": 0.0000, "final_energy_ev_per_atom": -5.978, "sg": "P4mm (99)", "delta_e_f_ev_per_atom": -0.135, "crystal_system": "tetragonal", "volume_a3_per_cell": 81.50}


(5)
{"formula": "Zr4OsN2", "functional": "PBE-GGA", "state": "relaxed", "lattice": [[-1.1341, 0.8516, -3.0020], [5.5669, -1.7458, -0.7622], [-3.7295, -11.1294, -1.7481]], "species": ["Os", "Os", "N", "N", "N", "N", "Zr", "Zr", "Zr", "Zr", "Zr", "Zr", "Zr", "Zr"], "frac_coords": [[0.3921, 0.7842, 0.2500], [0.6079, 0.2158, 0.7500], [0.8673, 0.7347, 0.9414], [0.1327, 0.2653, 0.4414], [0.8673, 0.7347, 0.5586], [0.1327, 0.2653, 0.0586], [0.9242, 0.8485, 0.7500], [0.7689, 0.5378, 0.1073], [0.2311, 0.4622, 0.6073], [0.7689, 0.5378, 0.3927], [0.0758, 0.1515, 0.2500], [0.5000, 0.0000, 0.5000], [0.2311, 0.4622, 0.8927], [0.5000, 0.0000, 0.0000]], "final_energy_ev_per_atom": -9.986, "sg": "Cmcm (63)", "crystal_system": "orthorhombic", "volume_a3_per_cell": 222.40, "raw_formation_energy_ev_per_atom": -1.119}


(6)
{"formula": "CePm5Hg4", "functional": "PBE-GGA", "state": "relaxed", "lattice": [[-1.4445, -2.0536, 2.7931], [3.0058, -2.2495, -0.0994], [9.2671, 11.7876, 13.4595]], "species": ["Pm", "Pm", "Pm", "Pm", "Pm", "Hg", "Hg", "Hg", "Hg", "Ce"], "frac_coords": [[0.5000, 0.5000, 0.5000], [0.5000, 0.5000, 0.8865], [0.5000, 0.5000, 0.3076], [0.5000, 0.5000, 0.6924], [0.5000, 0.5000, 0.1135], [0.0000, 0.0000, 0.7916], [0.0000, 0.0000, 0.2084], [0.0000, 0.0000, 0.5958], [0.0000, 0.0000, 0.4042], [0.0000, 0.0000, 0.0000]], "final_energy_ev_per_atom": -3.448, "sg": "P4/mmm (123)", "delta_e_f_ev_per_atom": -0.358, "crystal_system": "tetragonal", "volume_a3_per_cell": 284.21}


(7)
{"formula": "ZnSnI2N", "functional": "PBE-GGA", "state": "relaxed", "lattice": [[6.1083, 0.0000, 0.0000], [0.0000, 6.1083, 0.0000], [0.0000, 0.0000, 3.9324]], "species": ["Zn", "Sn", "I", "I", "N"], "frac_coords": [[0.5000, 0.5000, 0.5000], [0.0000, 0.0000, 0.0000], [0.0000, 0.5000, 0.0000], [0.5000, 0.0000, 0.0000], [0.0000, 0.0000, 0.5000]], "relative_energy_ev_per_atom": 0.1457, "final_energy_ev_per_atom": -2.732, "sg": "P4/mmm (123)", "crystal_system": "tetragonal", "volume_a3_per_cell": 146.72, "raw_formation_energy_ev_per_atom": 0.608}


(8)
{"formula": "BaAcSi3", "functional": "PBE-GGA", "state": "relaxed", "lattice": [[-1.0378, 3.2656, 2.4145], [2.4682, -1.8889, 3.6157], [9.6031, 7.3747, -5.8465]], "species": ["Si", "Si", "Si", "Si", "Si", "Si", "Ac", "Ac", "Ba", "Ba"], "frac_coords": [[0.2500, 0.3881, 0.7762], [0.2500, 0.4787, 0.9575], [0.7500, 0.6119, 0.2238], [0.2500, 0.6588, 0.3177], [0.7500, 0.3412, 0.6823], [0.7500, 0.5213, 0.0425], [0.2500, 0.0669, 0.1338], [0.7500, 0.9331, 0.8662], [0.7500, 0.2010, 0.4021], [0.2500, 0.7990, 0.5979]], "final_energy_ev_per_atom": -4.953, "sg": "Cmcm (63)", "crystal_system": "orthorhombic", "volume_a3_per_cell": 264.47, "raw_formation_energy_ev_per_atom": -0.493}